Entry 1:
This record from the Alexandria database describes an optimized crystal structure of CaMg2I6. The functional is PBE.

Results
Energy relative to the lowest polymorph listed for this composition (meV/atom): 0

Cell lengths 16.928, 4.288, 11.386 Å; angles 90.00, 112.76, 90.00 degrees
Space group C2/m (No. 12)
Asymmetric unit:
1 Ca 0.000 0.000 0.000
2 Mg 0.169 0.500 0.339
3 I 0.038 0.000 0.293
4 I 0.145 0.500 0.066
5 I 0.201 0.500 0.612



Entry 2:
This record from the Alexandria database describes an optimized crystal structure of Na2CaMgI6. The functional is PBE.

Cell lengths 8.476, 8.476, 6.328 Å; angles 90.00, 90.00, 90.00 degrees
Space group P4mm (No. 99)
Asymmetric unit:
1 Na 0.000 0.500 0.000
2 Ca 0.000 0.000 0.745
3 Mg 0.500 0.500 0.706
4 I 0.000 0.000 0.262
5 I 0.260 0.260 0.806
6 I 0.500 0.500 0.281



Total magnetization
In order: 0.000 0.000
Unit: μB/atom
Energy
In order: -0.104 -0.100
Unit: Ha/atom